# 1
VASP calculation (PBE-GGA) on a geometry-optimized CsRbGe structure.

Cell and atoms, written as POSCAR:
```
CsRbGe
1.0
4.0244 0.0000 0.0000
0.0000 6.2130 0.0000
0.0000 0.0000 6.5644
Cs Rb Ge
1 1 1
Direct
0.0000 0.0000 0.0000 Cs
0.0000 0.5000 0.5000 Rb
0.5000 0.0000 0.5000 Ge
```

Values from the calculation:
ΔE to the lowest computed polymorph: 0.267 eV per atom
Formation enthalpy at 0 K: 0.7 eV/f.u.

***

# 2
VASP calculation (PBE-GGA) on a geometry-optimized TbPaRh structure.

Cell and atoms, written as POSCAR:
```
TbPaRh
1.0
4.7398 0.0000 0.0000
-2.3699 4.1047 0.0000
0.0000 0.0000 3.4524
Tb Pa Rh
1 1 1
Direct
0.0000 0.0000 0.0000 Tb
0.6667 0.3333 0.3870 Pa
0.3333 0.6667 0.6284 Rh
```

Values from the calculation:
ΔE to the lowest computed polymorph: 0.277 eV per atom
Formation enthalpy at 0 K: -0.5 eV/f.u.

***

Number 1: electronic total energy -1.90 eV/atom. Number 2: electronic total energy -7.34 eV/atom.